DFT (PBE) results for SmB4H12 after structural relaxation.

```
SmB4H12
1.0
5.328 0.000 0.000
-1.776 5.023 0.000
-1.776 -2.511 4.350
H B Sm
12 4 1
Direct
0.742 0.000 0.258
0.258 0.516 0.258
0.484 0.742 0.742
0.258 0.000 0.742
0.742 0.484 0.742
0.742 0.258 0.000
0.742 0.742 0.484
0.258 0.258 0.516
0.000 0.742 0.258
0.516 0.258 0.258
0.258 0.742 0.000
0.000 0.258 0.742
0.000 0.000 0.500
0.500 0.500 0.500
0.000 0.500 0.000
0.500 0.000 0.000
0.000 0.000 0.000
```

Results
Magnetic moment (μB per cell): 0.0
Energy (eV for the cell shown): -66.2